Nd8Te4CS3 | PBE-GGA | optimized geometry

Properties
The symmetry is R-3m, No. 166. Its calculated total energy is -6.043 eV/atom. The calculation puts the formation energy without anion corrections at -1.5230 eV/atom.

a b c (Å): 8.687 8.687 8.687
angles (deg): 57.47 57.47 57.47
Fractional positions:
Nd  0.236  0.236  0.236
Nd  0.257  0.722  0.722
Nd  0.278  0.278  0.743
Nd  0.278  0.743  0.278
Nd  0.722  0.257  0.722
Nd  0.722  0.722  0.257
Nd  0.743  0.278  0.278
Nd  0.764  0.764  0.764
Te  0.000  0.000  0.000
Te  0.000  0.500  0.500
Te  0.500  0.000  0.500
Te  0.500  0.500  0.000
C  0.500  0.500  0.500
S  0.000  0.000  0.500
S  0.000  0.500  0.000
S  0.500  0.000  0.000



NdThCS | PBE-GGA | optimized geometry

Properties
The symmetry is R3m, No. 160. Its calculated total energy is -7.564 eV/atom. The calculation puts the formation energy without anion corrections at -1.1788 eV/atom.

a b c (Å): 3.875 3.875 19.975
angles (deg): 90.00 90.00 120.00
Fractional positions:
Nd  0.000  0.000  0.000
Nd  0.333  0.667  0.667
Nd  0.667  0.333  0.333
Th  0.000  0.000  0.476
Th  0.333  0.667  0.143
Th  0.667  0.333  0.810
C  0.000  0.000  0.745
C  0.333  0.667  0.412
C  0.667  0.333  0.078
S  0.000  0.000  0.238
S  0.333  0.667  0.905
S  0.667  0.333  0.572



Which formula does entry 1 have? Nd8Te4CS3